This record from the Alexandria database describes a geometry-optimized SrInOs2Ru structure. The functional is PBE.

## Properties
**Space-group type**: No. 123
**Energy of formation from the pure elements**: 9.38 eV/f.u.

a = 4.989 Å, b = 4.979 Å, c = 4.989 Å
α = 90.00°, β = 90.00°, γ = 90.00°
Sites, in units of the cell vectors:
Ru (0.000, 0.500, 0.000)
Os (0.000, 0.000, 0.500)
Os (0.500, 0.000, 0.000)
Sr (0.500, 0.500, 0.500)
In (0.000, 0.000, 0.000)

This record from the Alexandria database describes a geometry-optimized Mn2ZnTcC structure. The functional is PBE.

## Properties
**Space-group type**: No. 123
**Energy of formation from the pure elements**: 0.23 eV/f.u.

a = 3.935 Å, b = 3.935 Å, c = 4.069 Å
α = 90.00°, β = 90.00°, γ = 90.00°
Sites, in units of the cell vectors:
C (0.000, 0.000, 0.000)
Zn (0.500, 0.500, 0.500)
Mn (0.000, 0.500, 0.000)
Mn (0.500, 0.000, 0.000)
Tc (0.000, 0.000, 0.500)

This record from the Alexandria database describes a geometry-optimized NdSc5Hg6 structure. The functional is PBE.

## Properties
**Space-group type**: No. 65
**Energy of formation from the pure elements**: -5.00 eV/f.u.

a = 5.012 Å, b = 7.253 Å, c = 7.981 Å
α = 90.00°, β = 108.27°, γ = 90.00°
Sites, in units of the cell vectors:
Sc (0.661, 0.500, 0.324)
Sc (0.329, 0.000, 0.658)
Sc (0.000, 0.500, 0.000)
Sc (0.671, 0.000, 0.342)
Sc (0.339, 0.500, 0.676)
Nd (0.000, 0.000, 0.000)
Hg (0.828, 0.736, 0.654)
Hg (0.828, 0.264, 0.654)
Hg (0.500, 0.266, 0.000)
Hg (0.500, 0.734, 0.000)
Hg (0.172, 0.736, 0.346)
Hg (0.172, 0.264, 0.346)